[1]
! MgGe2AsPb, optimized geometry, DFT GGA-PBE; values from VASP
&SYSTEM
  ibrav = 0, nat = 5, ntyp = 4
/
ATOMIC_SPECIES
Mg 24.30 Mg.upf
Ge 72.64 Ge.upf
As 74.92 As.upf
Pb 207.20 Pb.upf
CELL_PARAMETERS angstrom
5.384 0.000 0.000
0.000 5.384 0.000
0.000 0.000 5.309
ATOMIC_POSITIONS crystal
Mg 0.000 0.000 0.000
Ge 0.000 0.500 0.500
Ge 0.500 0.000 0.500
As 0.500 0.500 0.000
Pb 0.000 0.000 0.500
! D(E_F) (states/eV per atom): 0.541
! SG: P4/mmm (123)
! Final energy (eV/atom): -2.88


[2]
! MgGeAs2Pt, optimized geometry, DFT GGA-PBE; values from VASP
&SYSTEM
  ibrav = 0, nat = 5, ntyp = 4
/
ATOMIC_SPECIES
Mg 24.30 Mg.upf
Ge 72.64 Ge.upf
As 74.92 As.upf
Pt 195.08 Pt.upf
CELL_PARAMETERS angstrom
4.830 0.000 0.000
0.000 4.830 0.000
0.000 0.000 4.854
ATOMIC_POSITIONS crystal
Mg 0.000 0.000 0.000
Ge 0.000 0.000 0.500
As 0.000 0.500 0.000
As 0.500 0.000 0.000
Pt 0.500 0.500 0.500
! D(E_F) (states/eV per atom): 0.482
! SG: P4/mmm (123)
! Final energy (eV/atom): -3.39


[3]
! Mg2GeAs2Rh5, optimized geometry, DFT GGA-PBE; values from VASP
&SYSTEM
  ibrav = 0, nat = 20, ntyp = 4
/
ATOMIC_SPECIES
Mg 24.30 Mg.upf
Ge 72.64 Ge.upf
As 74.92 As.upf
Rh 102.91 Rh.upf
CELL_PARAMETERS angstrom
9.385 0.000 0.000
0.000 9.385 0.000
0.000 0.000 3.563
ATOMIC_POSITIONS crystal
Mg 0.170 0.330 0.000
Mg 0.330 0.830 0.000
Mg 0.670 0.170 0.000
Mg 0.830 0.670 0.000
Ge 0.000 0.000 0.000
Ge 0.500 0.500 0.000
As 0.130 0.630 0.000
As 0.370 0.130 0.000
As 0.630 0.870 0.000
As 0.870 0.370 0.000
Rh 0.000 0.500 0.500
Rh 0.073 0.800 0.500
Rh 0.200 0.073 0.500
Rh 0.300 0.573 0.500
Rh 0.427 0.300 0.500
Rh 0.500 0.000 0.500
Rh 0.573 0.700 0.500
Rh 0.700 0.427 0.500
Rh 0.800 0.927 0.500
Rh 0.927 0.200 0.500
! D(E_F) (states/eV per atom): 0.423
! SG: P4/mbm (127)
! Final energy (eV/atom): -5.86


ΔE_f across the listed records, respectively: 0.95, 0.92, -0.48 eV per atom.